# 1
# PuBF6 (PBE, relaxed)
data_PuBF6
_cell_length_a 6.8000
_cell_length_b 6.8000
_cell_length_c 6.2000
_cell_angle_alpha 90.00
_cell_angle_beta 90.00
_cell_angle_gamma 120.00
_space_group_name_H-M_alt 'R -3 m'
_space_group_IT_number 166
_space_group_name_Hall '-R 3 2"'
loop_
_atom_site_label
_atom_site_fract_x
_atom_site_fract_y
_atom_site_fract_z
_atom_site_occupancy
Pu1 0.0000 0.0000 0.0000 1
B1 0.0000 0.0000 0.5000 1
F1 0.1109 0.2218 0.6564 1
# - Energy relative to the elements, uncorrected: -2.841 eV per atom
# - V: 248.4 Å³/cell

***

# 2
# Rb2BF7 (PBE, relaxed)
data_Rb2BF7
_cell_length_a 6.163
_cell_length_b 6.163
_cell_length_c 8.235
_cell_angle_alpha 90.00
_cell_angle_beta 90.00
_cell_angle_gamma 90.00
_space_group_name_H-M_alt 'I 4/m m m'
_space_group_IT_number 139
_space_group_name_Hall '-I 4 2'
loop_
_atom_site_label
_atom_site_fract_x
_atom_site_fract_y
_atom_site_fract_z
_atom_site_occupancy
Rb1 0.000 0.500 0.250 1
B1 0.000 0.000 0.000 1
F1 0.000 0.000 0.290 1
F2 0.000 0.000 0.500 1
F3 0.172 0.172 0.000 1
# - Energy relative to the elements, uncorrected: -2.080 eV per atom
# - V: 312.8 Å³/cell

***

# 3
# Rb2BF5 (PBE, relaxed)
data_Rb2BF5
_cell_length_a 7.949
_cell_length_b 7.972
_cell_length_c 5.935
_cell_angle_alpha 90.00
_cell_angle_beta 125.97
_cell_angle_gamma 90.00
_space_group_name_H-M_alt 'C 1 m 1'
_space_group_IT_number 8
_space_group_name_Hall 'C -2y'
loop_
_atom_site_label
_atom_site_fract_x
_atom_site_fract_y
_atom_site_fract_z
_atom_site_occupancy
Rb1 0.000 0.244 0.000 1
B1 0.041 0.500 0.554 1
F1 0.168 0.500 0.460 1
F2 0.181 0.500 0.858 1
F3 0.220 0.000 0.904 1
F4 0.420 0.147 0.472 1
# - Energy relative to the elements, uncorrected: -2.864 eV per atom
# - V: 304.4 Å³/cell

***

# 4
# Rb2BF5 (PBE, relaxed)
data_Rb2BF5
_cell_length_a 5.251
_cell_length_b 12.801
_cell_length_c 8.739
_cell_angle_alpha 90.00
_cell_angle_beta 90.60
_cell_angle_gamma 90.00
_space_group_name_H-M_alt 'P 1 21/c 1'
_space_group_IT_number 14
_space_group_name_Hall '-P 2ybc'
loop_
_atom_site_label
_atom_site_fract_x
_atom_site_fract_y
_atom_site_fract_z
_atom_site_occupancy
Rb1 0.241 0.218 0.147 1
Rb2 0.247 0.554 0.137 1
B1 0.309 0.619 0.621 1
F1 0.189 0.527 0.671 1
F2 0.220 0.707 0.706 1
F3 0.257 0.119 0.447 1
F4 0.258 0.637 0.463 1
F5 0.423 0.111 0.857 1
# - Energy relative to the elements, uncorrected: -2.918 eV per atom
# - V: 587.4 Å³/cell